Ca2GaIr2, optimized geometry, DFT PBE-GGA; spin magnetization = 0.000 μB per atom; ΔE_f = -0.48 eV per atom; final energy = -27.16 eV per formula unit
1.0
6.639 0.000 0.000
0.000 6.639 0.000
0.000 0.000 4.653
Ca Ga Ir
4 2 4
Direct
0.173 0.327 0.000
0.327 0.827 0.000
0.673 0.173 0.000
0.827 0.673 0.000
0.000 0.000 0.500
0.500 0.500 0.500
0.135 0.635 0.500
0.365 0.135 0.500
0.635 0.865 0.500
0.865 0.365 0.500